No. 1
Here is crystalline CaTb12Y6 at its relaxed geometry from Alexandria. Energies are from GGA-PBE.

Cell: 9.4248 9.4248 9.4248 Å, 108.28 108.28 108.28°
Positions (direct):
Ca 0.0000 0.0000 0.0000
Tb 0.8904 0.1096 0.5000
Tb 0.3644 0.1505 0.3644
Tb 0.3644 0.3644 0.1505
Tb 0.8495 0.6356 0.6356
Tb 0.6356 0.6356 0.8495
Tb 0.6356 0.8495 0.6356
Tb 0.5000 0.8904 0.1096
Tb 0.1096 0.5000 0.8904
Tb 0.1096 0.8904 0.5000
Tb 0.5000 0.1096 0.8904
Tb 0.8904 0.5000 0.1096
Tb 0.1505 0.3644 0.3644
Y 0.6803 0.2582 0.6803
Y 0.6803 0.6803 0.2582
Y 0.2582 0.6803 0.6803
Y 0.3197 0.3197 0.7418
Y 0.3197 0.7418 0.3197
Y 0.7418 0.3197 0.3197

Total magnetization = 0.000 μB per cell
V = 35.3 A^3/atom
Formation energy = 435.1 meV per atom

=====

No. 2
Here is crystalline CaTb12Y2 at its relaxed geometry from Alexandria. Energies are from GGA-PBE.

Cell: 6.5986 6.5961 25.6310 Å, 101.57 91.06 115.26°
Positions (direct):
Ca 0.5010 0.0023 0.0023
Ca 0.9990 0.4977 0.9977
Tb 0.6435 0.5507 0.7942
Tb 0.1539 0.0410 0.7945
Tb 0.9598 0.9181 0.9179
Tb 0.4325 0.8633 0.8626
Tb 0.9101 0.0905 0.3354
Tb 0.0675 0.6367 0.1374
Tb 0.8000 0.0973 0.5951
Tb 0.4211 0.5757 0.3351
Tb 0.4597 0.4180 0.9178
Tb 0.5402 0.5819 0.0821
Tb 0.2712 0.0397 0.5380
Tb 0.7000 0.4027 0.4049
Tb 0.0789 0.9243 0.6649
Tb 0.2288 0.4603 0.4620
Tb 0.0403 0.0820 0.0822
Tb 0.7282 0.9575 0.4597
Tb 0.7718 0.5425 0.5403
Tb 0.8565 0.9493 0.2058
Tb 0.3019 0.6026 0.6005
Tb 0.5899 0.4095 0.6646
Tb 0.9297 0.3585 0.8575
Tb 0.3461 0.4590 0.2055
Tb 0.1981 0.8974 0.3995
Tb 0.5703 0.1415 0.1425
Y 0.3835 0.0178 0.2705
Y 0.8837 0.5193 0.2706
Y 0.1165 0.4822 0.7295
Y 0.6163 0.9807 0.7294

Total magnetization = 0.001 μB per cell
V = 32.7 A^3/atom
Formation energy = 59.7 meV per atom

=====

No. 3
Here is crystalline CaTb6Y4 at its relaxed geometry from Alexandria. Energies are from GGA-PBE.

Cell: 7.8294 7.8294 8.5241 Å, 117.34 117.34 90.00°
Positions (direct):
Ca 0.5000 0.5000 0.0000
Tb 0.9395 0.4341 0.3736
Tb 0.4341 0.9395 0.3736
Tb 0.5659 0.5659 0.6264
Tb 0.0000 0.5000 0.0000
Tb 0.0605 0.0605 0.6264
Tb 0.5000 0.0000 0.0000
Y 0.0847 0.7604 0.8451
Y 0.9153 0.9153 0.1549
Y 0.7604 0.0847 0.8451
Y 0.2396 0.2396 0.1549

Total magnetization = 0.000 μB per cell
V = 36.1 A^3/atom
Formation energy = 439.4 meV per atom

=====

No. 4
Here is crystalline Ca2TbY2 at its relaxed geometry from Alexandria. Energies are from GGA-PBE.

Cell: 3.6550 3.6550 15.3400 Å, 90.05 90.05 59.98°
Positions (direct):
Ca 0.3340 0.3340 0.6093
Ca 0.6660 0.6660 0.3907
Tb 0.0000 0.0000 0.0000
Y 0.3343 0.3343 0.1848
Y 0.6657 0.6657 0.8152

Total magnetization = 0.000 μB per cell
V = 35.5 A^3/atom
Formation energy = 59.8 meV per atom

=====

No. 5
Here is crystalline CaTbY2 at its relaxed geometry from Alexandria. Energies are from GGA-PBE.

Cell: 5.7709 5.7709 5.7709 Å, 60.00 60.00 60.00°
Site moments in Bohr magnetons follow the coordinates.
Positions (direct):
Y 0.2500 0.2500 0.2500  0.05
Y 0.7500 0.7500 0.7500  0.05
Ca 0.5000 0.5000 0.5000  0.01
Tb 0.0000 0.0000 0.0000  0.07

Total magnetization = 0.366 μB per cell
V = 34.0 A^3/atom
Formation energy = 167.2 meV per atom
Energy above the lowest structure with this stoichiometry = 110 meV/atom

=====

No. 6
Here is crystalline CaTbY2 at its relaxed geometry from Alexandria. Energies are from GGA-PBE.

Cell: 3.6354 3.6354 10.3968 Å, 90.00 90.00 90.00°
Positions (direct):
Y 0.0000 0.0000 0.7693
Y 0.0000 0.0000 0.2307
Ca 0.5000 0.5000 0.5000
Tb 0.5000 0.5000 0.0000

Total magnetization = 0.002 μB per cell
V = 34.4 A^3/atom
Formation energy = 66.9 meV per atom
Energy above the lowest structure with this stoichiometry = 9 meV/atom

=====

No. 7
Here is crystalline CaTbY at its relaxed geometry from Alexandria. Energies are from GGA-PBE.

Cell: 3.6567 3.6567 18.2046 Å, 84.24 84.24 60.00°
Positions (direct):
Tb 0.0886 0.0886 0.7342
Tb 0.9114 0.9114 0.2658
Ca 0.6360 0.6360 0.0919
Ca 0.3640 0.3640 0.9081
Y 0.1931 0.1931 0.4208
Y 0.8069 0.8069 0.5792

Total magnetization = 0.000 μB per cell
V = 34.9 A^3/atom
Formation energy = 39.7 meV per atom
Energy above the lowest structure with this stoichiometry = 0 meV/atom

=====

No. 8
Here is crystalline CaTb4Y5 at its relaxed geometry from Alexandria. Energies are from GGA-PBE.

Cell: 3.5952 3.5952 25.5130 Å, 90.00 90.00 90.00°
Positions (direct):
Ca 0.0000 0.0000 0.0000
Tb 0.0000 0.0000 0.2046
Tb 0.0000 0.0000 0.4017
Tb 0.0000 0.0000 0.5983
Tb 0.0000 0.0000 0.7954
Y 0.5000 0.5000 0.1103
Y 0.5000 0.5000 0.3040
Y 0.5000 0.5000 0.5000
Y 0.5000 0.5000 0.6960
Y 0.5000 0.5000 0.8897

Total magnetization = 0.001 μB per cell
V = 33.0 A^3/atom
Formation energy = 37.5 meV per atom

=====

No. 9
Here is crystalline Ca2TbZn6 at its relaxed geometry from Alexandria. Energies are from GGA-PBE.

Cell: 3.6530 7.7910 7.7910 Å, 120.00 90.00 90.00°
Positions (direct):
Ca 0.0000 0.3333 0.6667
Ca 0.0000 0.6667 0.3333
Tb 0.0000 0.0000 0.0000
Zn 0.5000 0.3324 0.3324
Zn 0.5000 0.6676 0.6676
Zn 0.5000 0.0000 0.6676
Zn 0.5000 0.6676 0.0000
Zn 0.5000 0.3324 0.0000
Zn 0.5000 0.0000 0.3324

Total magnetization = 0.000 μB per cell
V = 21.3 A^3/atom
Formation energy = -302.0 meV per atom

=====

No. 10
Here is crystalline CaTb3Zn2 at its relaxed geometry from Alexandria. Energies are from GGA-PBE.

Cell: 5.0733 6.8928 9.1671 Å, 90.00 90.00 90.00°
Positions (direct):
Ca 0.5000 0.5162 0.5586
Ca 0.5000 0.0162 0.4414
Tb 0.0000 0.4862 0.9419
Tb 0.0000 0.9862 0.0581
Tb 0.5000 0.6595 0.1701
Tb 0.5000 0.1595 0.8299
Tb 0.0000 0.3392 0.3271
Tb 0.0000 0.8392 0.6729
Zn 0.5000 0.7332 0.8528
Zn 0.5000 0.2332 0.1472
Zn 0.0000 0.2657 0.6542
Zn 0.0000 0.7657 0.3458

Total magnetization = 0.000 μB per cell
V = 26.7 A^3/atom
Formation energy = -187.0 meV per atom

=====

No. 11
Here is crystalline CaTbZn at its relaxed geometry from Alexandria. Energies are from GGA-PBE.

Cell: 3.8217 5.0781 5.0781 Å, 120.00 90.00 90.00°
Positions (direct):
Zn 0.3042 0.3333 0.6667
Tb 0.0834 0.0000 0.0000
Ca 0.6124 0.6667 0.3333

Total magnetization = 0.000 μB per cell
V = 28.4 A^3/atom
Formation energy = 27.0 meV per atom
Energy above the lowest structure with this stoichiometry = 188 meV/atom

=====

No. 12
Here is crystalline CaTbZn at its relaxed geometry from Alexandria. Energies are from GGA-PBE.

Cell: 5.0483 5.0483 5.0490 Å, 89.94 120.04 120.03°
Positions (direct):
Ca 0.9445 0.9722 0.9167
Tb 0.9443 0.4722 0.4165
Zn 0.4445 0.2222 0.6667

Total magnetization = 0.000 μB per cell
V = 30.3 A^3/atom
Formation energy = 42.8 meV per atom
Energy above the lowest structure with this stoichiometry = 204 meV/atom